Crystalline SrGeMo2O8 at its relaxed geometry, computed with PBE+U.

Lattice parameters (Å, degrees): 4.763 6.584 4.767 90.00 93.91 90.00
Sites, in units of the cell vectors:
1 Sr 0.000 0.000 0.000
2 Ge 0.000 0.500 0.000
3 Mo 0.500 0.256 0.500
4 Mo 0.500 0.744 0.500
5 O 0.210 0.297 0.209
6 O 0.210 0.703 0.209
7 O 0.294 0.500 0.704
8 O 0.331 0.000 0.667
9 O 0.669 0.000 0.333
10 O 0.706 0.500 0.296
11 O 0.790 0.297 0.791
12 O 0.790 0.703 0.791

Computed properties:
Electronic total energy: -6.78 eV per atom
Symmetry: P2/m, No. 10
Calculated volume: 12.43 Å³/atom
Spin magnetization: 0.167 μB per atom